[1]
The following is a DFT calculation (PBE) of a relaxed NpGeAu11 crystal.

POSCAR file:
```
NpGeAu11
1.0
2.749 -6.831 0.000
2.749 6.831 0.000
-2.152 0.000 6.789
Np Ge Au
1 1 11
Direct
0.000 0.000 0.000 Np
0.500 0.500 0.500 Ge
0.000 0.000 0.500 Au
0.000 0.500 0.000 Au
0.040 0.686 0.652 Au
0.314 0.960 0.348 Au
0.321 0.530 0.785 Au
0.470 0.679 0.215 Au
0.500 0.000 0.000 Au
0.530 0.321 0.785 Au
0.679 0.470 0.215 Au
0.686 0.040 0.652 Au
0.960 0.314 0.348 Au
```

Summary:
The density is 16.13 g/cm3.

[2]
The following is a DFT calculation (PBE) of a relaxed Np2Ge3Au6 crystal.

POSCAR file:
```
Np2Ge3Au6
1.0
7.811 0.000 0.000
-3.905 6.764 0.000
0.000 0.000 4.345
Np Ge Au
2 3 6
Direct
0.333 0.667 0.000 Np
0.667 0.333 0.000 Np
0.000 0.376 0.500 Ge
0.376 0.000 0.500 Ge
0.624 0.624 0.500 Ge
0.000 0.209 0.000 Au
0.000 0.695 0.500 Au
0.209 0.000 0.000 Au
0.305 0.305 0.500 Au
0.695 0.000 0.500 Au
0.791 0.791 0.000 Au
```

Summary:
The density is 13.55 g/cm3.

[3]
The following is a DFT calculation (PBE) of a relaxed NpGe2Au crystal.

POSCAR file:
```
NpGe2Au
1.0
4.480 0.000 0.000
0.000 4.480 0.000
0.000 0.000 3.949
Np Ge Au
1 2 1
Direct
0.000 0.000 0.000 Np
0.000 0.500 0.500 Ge
0.500 0.000 0.500 Ge
0.500 0.500 0.000 Au
```

Summary:
The density is 12.14 g/cm3.

[4]
The following is a DFT calculation (PBE) of a relaxed NpGe2Au3 crystal.

POSCAR file:
```
NpGe2Au3
1.0
8.140 -2.235 0.000
8.140 2.235 0.000
-3.045 0.000 6.601
Np Ge Au
2 4 6
Direct
0.132 0.132 0.197 Np
0.868 0.868 0.803 Np
0.221 0.221 0.668 Ge
0.491 0.491 0.167 Ge
0.509 0.509 0.833 Ge
0.779 0.779 0.332 Ge
0.061 0.061 0.714 Au
0.313 0.313 0.051 Au
0.366 0.366 0.485 Au
0.634 0.634 0.515 Au
0.687 0.687 0.949 Au
0.939 0.939 0.286 Au
```

Summary:
The density is 13.45 g/cm3.

[5]
The following is a DFT calculation (PBE) of a relaxed NpGe2Au3 crystal.

POSCAR file:
```
NpGe2Au3
1.0
8.494 -2.238 0.000
8.494 2.238 0.000
-2.384 0.000 9.727
Np Ge Au
3 6 9
Direct
0.000 0.000 0.000 Np
0.175 0.175 0.708 Np
0.825 0.825 0.292 Np
0.187 0.187 0.098 Ge
0.342 0.342 0.515 Ge
0.475 0.475 0.212 Ge
0.525 0.525 0.788 Ge
0.658 0.658 0.485 Ge
0.813 0.813 0.902 Ge
0.009 0.009 0.336 Au
0.187 0.187 0.370 Au
0.332 0.332 0.072 Au
0.375 0.375 0.810 Au
0.500 0.500 0.500 Au
0.625 0.625 0.190 Au
0.668 0.668 0.928 Au
0.813 0.813 0.630 Au
0.991 0.991 0.664 Au
```

Summary:
The density is 13.11 g/cm3.

[6]
The following is a DFT calculation (PBE) of a relaxed NpPaGeAu crystal.

POSCAR file:
```
NpPaGeAu
1.0
0.000 3.597 3.597
3.597 0.000 3.597
3.597 3.597 0.000
Np Pa Ge Au
1 1 1 1
Direct
0.000 0.000 0.000 Np
0.500 0.500 0.500 Pa
0.750 0.750 0.750 Ge
0.250 0.250 0.250 Au
```

Summary:
The density is 13.16 g/cm3.

Let's list density of states at the Fermi level in order: 0.8950; 1.9516; 1.9058; 1.7531; 1.8343; 2.7774 states/eV/atom.
Let's list ΔH_f (0 K) in order: -0.004; -0.116; -0.172; -0.130; -0.109; -0.098 eV/atom.